# 1
# GaSnCCl2

Crystalline GaSnCCl2 at its relaxed geometry (PBE, Alexandria).

Structure (POSCAR):
```
GaSnCCl2
1.0
5.738 0.000 0.000
0.000 5.738 0.000
0.000 0.000 3.542
Ga Sn C Cl
1 1 1 2
Cartesian
0.000 0.000 0.000
2.869 2.869 0.000
0.000 0.000 1.771
0.000 2.869 1.771
2.869 0.000 1.771
```

The spin magnetization comes out at 0.00 μB/f.u.


# 2
# TaGa2CCl

Crystalline TaGa2CCl at its relaxed geometry (PBE, Alexandria).

Structure (POSCAR):
```
TaGa2CCl
1.0
5.361 0.000 0.000
0.000 5.361 0.000
0.000 0.000 4.040
Ta Ga C Cl
1 2 1 1
Cartesian
0.000 0.000 0.000
0.000 2.680 0.000
2.680 0.000 0.000
0.000 0.000 2.020
2.680 2.680 2.020
```

The spin magnetization comes out at 0.47 μB/f.u.


# 3
# TiGa2CCl

Crystalline TiGa2CCl at its relaxed geometry (PBE, Alexandria).

Structure (POSCAR):
```
TiGa2CCl
1.0
5.227 0.000 0.000
0.000 5.227 0.000
0.000 0.000 4.567
Ti Ga C Cl
1 2 1 1
Cartesian
0.000 0.000 0.000
0.000 2.614 0.000
2.614 0.000 0.000
2.614 2.614 2.284
0.000 0.000 2.284
```

The spin magnetization comes out at 0.91 μB/f.u.


# 4
# Y2GaCCl

Crystalline Y2GaCCl at its relaxed geometry (PBE, Alexandria).

Structure (POSCAR):
```
Y2GaCCl
1.0
5.107 0.000 0.000
0.000 5.107 0.000
0.000 0.000 3.854
Y Ga C Cl
2 1 1 1
Cartesian
0.000 2.553 0.000
2.553 0.000 0.000
0.000 0.000 1.927
0.000 0.000 0.000
2.553 2.553 1.927
```

The spin magnetization comes out at 0.00 μB/f.u.


# 5
# Gd2CCl2

Crystalline Gd2CCl2 at its relaxed geometry (PBE, Alexandria).

Structure (POSCAR):
```
Gd2CCl2
1.0
3.775 0.000 0.000
-1.887 3.269 0.000
0.000 0.000 9.939
Gd C Cl
2 1 2
Cartesian
0.000 2.179 3.595
1.887 1.090 6.345
0.000 0.000 4.970
0.000 2.179 8.101
1.887 1.090 1.838
```

The spin magnetization comes out at 13.96 μB/f.u.


# 6
# Ge2CCl

Crystalline Ge2CCl at its relaxed geometry (PBE, Alexandria).

Structure (POSCAR):
```
Ge2CCl
1.0
-3.187 3.187 3.656
3.187 -3.187 3.656
3.187 3.187 -3.656
Ge C Cl
4 2 2
Cartesian
1.594 0.971 -0.914
2.217 -1.594 4.570
1.594 2.217 2.742
0.971 4.781 0.914
0.000 0.000 0.000
0.000 3.187 1.828
3.187 0.000 1.828
0.000 0.000 3.656
```

The spin magnetization comes out at 0.00 μB/f.u. The polymorph energy (0 for the lowest one) comes out at 0.0 meV per atom.


# 7
# GeCCl3

Crystalline GeCCl3 at its relaxed geometry (PBE, Alexandria).

Structure (POSCAR):
```
GeCCl3
1.0
4.496 0.000 0.000
0.000 4.496 0.000
0.000 0.000 4.496
Ge C Cl
1 1 3
Cartesian
0.000 0.000 0.000
2.248 2.248 2.248
0.000 2.248 2.248
2.248 0.000 2.248
2.248 2.248 0.000
```

The spin magnetization comes out at 0.00 μB/f.u. The polymorph energy (0 for the lowest one) comes out at 0.0 meV per atom.


# 8
# GeCCl2

Crystalline GeCCl2 at its relaxed geometry (PBE, Alexandria).

Structure (POSCAR):
```
GeCCl2
1.0
1.660 0.959 8.229
-1.660 0.959 8.229
0.000 -1.917 8.229
Ge C Cl
1 1 2
Cartesian
0.000 0.000 0.000
0.000 0.000 12.344
0.000 0.000 10.295
0.000 0.000 14.392
```

The spin magnetization comes out at 0.00 μB/f.u. The polymorph energy (0 for the lowest one) comes out at 0.0 meV per atom.


| no. | uncorrected energy (eV per cell) | formation energy without anion corrections (eV per atom) | density (g cm⁻³) |
| --- | --- | --- | --- |
| 1 | -16.67 | 0.654 | 3.9 |
| 2 | -25.61 | 0.674 | 5.3 |
| 3 | -18.65 | 1.275 | 3.1 |
| 4 | -28.71 | -0.337 | 4.9 |
| 5 | -48.44 | -1.472 | 5.4 |
| 6 | -35.60 | 0.627 | 4.3 |
| 7 | -14.91 | 0.894 | 3.5 |
| 8 | -12.21 | 1.331 | 3.3 |